Entry 1:
# AlCoTc2As

AlCoTc2As after structural relaxation (PBE-GGA, Alexandria).

## Properties
- Formation energy from the elements: 1.25 eV/atom
- Uncorrected energy: -5.999 eV per atom
- Crystal system: tetragonal
- Magnetization: 0.9 μB/cell

a b c (Å): 4.5167 4.5167 4.1149
angles (deg): 90.00 90.00 90.00
Last column: nearest neighbours and their distance in Å.
Space group P4/mmm (No. 123)
Unique sites:
Al  0.0000  0.0000  0.0000 [1 per cell]  2 Co 2.06, 4 Tc 2.26
Co  0.0000  0.0000  0.5000 [1 per cell]  2 Al 2.06
Tc  0.0000  0.5000  0.0000 [2 per cell]  2 Al 2.26
As  0.5000  0.5000  0.5000 [1 per cell]  8 Tc 3.06, 4 Co 3.19

---

Entry 2:
# MgScTlCd

MgScTlCd after structural relaxation (PBE-GGA, Alexandria).

## Properties
- Excess energy over the best structure of this formula in the dataset: 0.0000 eV/atom
- Formation energy from the elements: -0.23 eV/atom
- Uncorrected energy: -3.027 eV per atom
- Crystal system: orthorhombic
- Magnetization: 0.0 μB/cell

a b c (Å): 4.0638 4.6426 4.7567
angles (deg): 90.00 90.00 90.00
Last column: nearest neighbours and their distance in Å.
Space group Pmmm (No. 47)
Unique sites:
Mg  0.0000  0.0000  0.0000 [1 per cell]  4 Cd 3.08, 4 Tl 3.13, 4 Sc 3.32
Sc  0.0000  0.5000  0.5000 [1 per cell]  4 Tl 3.08, 4 Cd 3.13, 4 Mg 3.32
Tl  0.5000  0.0000  0.5000 [1 per cell]  4 Sc 3.08, 4 Mg 3.13, 4 Cd 3.32
Cd  0.5000  0.5000  0.0000 [1 per cell]  4 Mg 3.08, 4 Sc 3.13, 4 Tl 3.32